Material: Li3Mg4
Method: DFT, PBE
State: optimized geometry

Lattice parameters (Å, degrees): 5.5648 5.5648 6.0612 91.71 91.71 50.63
Last column: nearest neighbours and their distance in Å.
Fractional coordinates of all 7 atoms:
Li 0.0000 0.0000 0.0000  2 Li 2.82, 6 Mg 2.91-2.97
Li 0.2709 0.2709 0.1340  3 Li 2.82-2.90, 5 Mg 2.98-3.04
Li 0.7291 0.7291 0.8660  3 Li 2.82-2.90, 5 Mg 2.98-3.04
Mg 0.1462 0.1462 0.5825  4 Li 2.97-3.04, 6 Mg 3.07-3.31
Mg 0.4402 0.4402 0.7374  4 Li 2.91-2.99, 4 Mg 3.07-3.17
Mg 0.5598 0.5598 0.2626  4 Li 2.91-2.99, 4 Mg 3.07-3.17
Mg 0.8538 0.8538 0.4175  4 Li 2.97-3.04, 6 Mg 3.07-3.31

## Properties
distance to the lowest polymorph of the same formula = 0.27 kJ per mole of atoms
symmetry = C2/m (12)
ΔE_f = -0.05 eV/atom

***

Material: Li7Mg8
Method: DFT, PBE
State: optimized geometry

Lattice parameters (Å, degrees): 10.4803 10.4803 5.7558 90.00 90.00 90.00
Last column: nearest neighbours and their distance in Å.
Fractional coordinates of all 30 atoms:
Li 0.0000 0.0000 0.0000  4 Li 2.79, 4 Mg 3.12
Li 0.0613 0.2594 0.0000  2 Li 2.79-2.93, 8 Mg 3.01-3.08
Li 0.0939 0.0939 0.5000  1 Li 2.78, 2 Mg 2.86
Li 0.2406 0.5613 0.5000  2 Li 2.79-2.93, 8 Mg 3.01-3.08
Li 0.2594 0.0613 0.0000  2 Li 2.79-2.93, 8 Mg 3.01-3.08
Li 0.4061 0.5939 0.0000  1 Li 2.78, 2 Mg 2.86
Li 0.4387 0.7594 0.5000  2 Li 2.79-2.93, 8 Mg 3.01-3.08
Li 0.5000 0.5000 0.5000  4 Li 2.79, 4 Mg 3.12
Li 0.5613 0.2406 0.5000  2 Li 2.79-2.93, 8 Mg 3.01-3.08
Li 0.5939 0.4061 0.0000  1 Li 2.78, 2 Mg 2.86
Li 0.7406 0.9387 0.0000  2 Li 2.79-2.93, 8 Mg 3.01-3.08
Li 0.7594 0.4387 0.5000  2 Li 2.79-2.93, 8 Mg 3.01-3.08
Li 0.9061 0.9061 0.5000  1 Li 2.78, 2 Mg 2.86
Li 0.9387 0.7406 0.0000  2 Li 2.79-2.93, 8 Mg 3.01-3.08
Mg 0.0355 0.3601 0.5000  5 Li 2.86-3.08, 1 Mg 3.03
Mg 0.1399 0.5355 0.0000  5 Li 2.86-3.08, 1 Mg 3.03
Mg 0.1866 0.8134 0.2505  2 Mg 2.87-2.88, 5 Li 3.06-3.12
Mg 0.1866 0.8134 0.7495  2 Mg 2.87-2.88, 5 Li 3.06-3.12
Mg 0.3134 0.3134 0.2495  2 Mg 2.87-2.88, 5 Li 3.06-3.12
Mg 0.3134 0.3134 0.7505  2 Mg 2.87-2.88, 5 Li 3.06-3.12
Mg 0.3601 0.0355 0.5000  5 Li 2.86-3.08, 1 Mg 3.03
Mg 0.4645 0.8601 0.0000  5 Li 2.86-3.08, 1 Mg 3.03
Mg 0.5355 0.1399 0.0000  5 Li 2.86-3.08, 1 Mg 3.03
Mg 0.6399 0.9645 0.5000  5 Li 2.86-3.08, 1 Mg 3.03
Mg 0.6866 0.6866 0.2495  2 Mg 2.87-2.88, 5 Li 3.06-3.12
Mg 0.6866 0.6866 0.7505  2 Mg 2.87-2.88, 5 Li 3.06-3.12
Mg 0.8134 0.1866 0.2505  2 Mg 2.87-2.88, 5 Li 3.06-3.12
Mg 0.8134 0.1866 0.7495  2 Mg 2.87-2.88, 5 Li 3.06-3.12
Mg 0.8601 0.4645 0.0000  5 Li 2.86-3.08, 1 Mg 3.03
Mg 0.9645 0.6399 0.5000  5 Li 2.86-3.08, 1 Mg 3.03

## Properties
symmetry = P4_2/mnm (136)
ΔE_f = -0.02 eV/atom

***

Material: LiMg2
Method: DFT, PBE
State: optimized geometry

Lattice parameters (Å, degrees): 5.0045 8.1774 8.1774 22.85 90.00 90.00
Last column: nearest neighbours and their distance in Å.
Fractional coordinates of all 6 atoms:
Li 0.0000 0.0000 0.0000  8 Mg 3.07-3.14, 4 Li 3.10-3.24
Li 0.0000 0.3348 0.3348  8 Mg 3.07-3.14, 4 Li 3.10-3.24
Mg 0.0000 0.6675 0.6675  8 Mg 3.09-3.24, 4 Li 3.13-3.14
Mg 0.5000 0.1172 0.1172  10 Mg 3.09-3.24, 2 Li 3.13
Mg 0.5000 0.4532 0.4532  6 Li 3.07-3.14, 6 Mg 3.08-3.24
Mg 0.5000 0.7894 0.7894  4 Li 3.07, 8 Mg 3.08-3.24

## Properties
symmetry = Amm2 (38)
ΔE_f = -0.01 eV/atom

***

Material: LiMg2
Method: DFT, PBE
State: optimized geometry

Lattice parameters (Å, degrees): 5.9440 5.9440 7.3945 105.00 105.00 31.13
Last column: nearest neighbours and their distance in Å.
Fractional coordinates of all 6 atoms:
Li 0.0000 0.0000 0.0000  8 Mg 3.07-3.20, 4 Li 3.12-3.19
Li 0.6682 0.6682 0.3326  8 Mg 3.08-3.15, 4 Li 3.12-3.19
Mg 0.0535 0.0535 0.5967  3 Li 3.08-3.20, 9 Mg 3.12-3.19
Mg 0.3365 0.3365 0.6699  4 Li 3.09-3.15, 8 Mg 3.12-3.19
Mg 0.3847 0.3847 0.2649  5 Li 3.08-3.15, 7 Mg 3.10-3.19
Mg 0.7154 0.7154 0.9383  4 Li 3.07-3.17, 8 Mg 3.10-3.19

## Properties
symmetry = Cm (8)
ΔE_f = -0.04 eV/atom

***

Material: LiMg6
Method: DFT, PBE
State: optimized geometry

Lattice parameters (Å, degrees): 7.7321 7.7321 7.7321 118.29 118.29 118.29
Last column: nearest neighbours and their distance in Å.
Fractional coordinates of all 7 atoms:
Li 0.0000 0.0000 0.0000  6 Mg 2.99, 2 Li 3.06
Mg 0.1067 0.5293 0.2547  1 Li 2.99, 7 Mg 3.06-3.14
Mg 0.2547 0.1067 0.5293  1 Li 2.99, 7 Mg 3.06-3.14
Mg 0.4707 0.7453 0.8933  1 Li 2.99, 7 Mg 3.06-3.14
Mg 0.5293 0.2547 0.1067  1 Li 2.99, 7 Mg 3.06-3.14
Mg 0.7453 0.8933 0.4707  1 Li 2.99, 7 Mg 3.06-3.14
Mg 0.8933 0.4707 0.7453  1 Li 2.99, 7 Mg 3.06-3.14

## Properties
distance to the lowest polymorph of the same formula = 0.00 kJ per mole of atoms
symmetry = R-3 (148)
ΔE_f = 0.00 eV/atom

***

Material: LiMg2
Method: DFT, PBE
State: optimized geometry

Lattice parameters (Å, degrees): 6.6219 6.6219 6.6219 90.00 90.00 90.00
Last column: nearest neighbours and their distance in Å.
Fractional coordinates of all 12 atoms:
Li 0.0000 0.0000 0.0000  6 Mg 2.71
Li 0.0000 0.5000 0.5000  6 Mg 2.71
Li 0.5000 0.0000 0.5000  6 Mg 2.71
Li 0.5000 0.5000 0.0000  6 Mg 2.71
Mg 0.1566 0.6566 0.8434  3 Li 2.71
Mg 0.1566 0.8434 0.3434  3 Li 2.71
Mg 0.3434 0.1566 0.8434  3 Li 2.71
Mg 0.3434 0.3434 0.3434  3 Li 2.71
Mg 0.6566 0.6566 0.6566  3 Li 2.71
Mg 0.6566 0.8434 0.1566  3 Li 2.71
Mg 0.8434 0.1566 0.6566  3 Li 2.71
Mg 0.8434 0.3434 0.1566  3 Li 2.71

## Properties
symmetry = Pa-3 (205)
ΔE_f = 0.32 eV/atom

***

Material: Li3Mg4
Method: DFT, PBE
State: optimized geometry

Lattice parameters (Å, degrees): 12.6733 12.6733 12.6733 164.52 164.52 21.96
Last column: nearest neighbours and their distance in Å.
Fractional coordinates of all 7 atoms:
Li 0.0000 0.0000 0.0000  8 Mg 2.94
Li 0.2817 0.2817 0.0000  4 Li 2.88, 4 Mg 2.98
Li 0.7183 0.7183 0.0000  4 Li 2.88, 4 Mg 2.98
Mg 0.1483 0.1483 0.0000  5 Li 2.98-3.32, 4 Mg 3.14
Mg 0.4322 0.4322 0.0000  4 Li 2.94, 4 Mg 3.14
Mg 0.5678 0.5678 0.0000  4 Li 2.94, 4 Mg 3.14
Mg 0.8517 0.8517 0.0000  5 Li 2.98-3.32, 4 Mg 3.14

## Properties
distance to the lowest polymorph of the same formula = 0.00 kJ per mole of atoms
symmetry = I4/mmm (139)
ΔE_f = -0.05 eV/atom

***

Material: Li13Mg2
Method: DFT, PBE
State: optimized geometry

Lattice parameters (Å, degrees): 8.2905 8.2905 8.2905 58.10 58.10 58.10
Last column: nearest neighbours and their distance in Å.
Fractional coordinates of all 15 atoms:
Li 0.0000 0.0000 0.0000  12 Li 2.81-2.96
Li 0.0111 0.0111 0.6500  6 Li 2.69-2.98, 1 Mg 3.00
Li 0.0111 0.6500 0.0111  6 Li 2.69-2.98, 1 Mg 3.00
Li 0.2380 0.2380 0.6168  8 Li 2.96-3.16, 1 Mg 3.06
Li 0.2380 0.6168 0.2380  8 Li 2.96-3.16, 1 Mg 3.06
Li 0.3500 0.9889 0.9889  6 Li 2.69-2.98, 1 Mg 3.00
Li 0.3832 0.7620 0.7620  8 Li 2.96-3.16, 1 Mg 3.06
Li 0.6168 0.2380 0.2380  8 Li 2.96-3.16, 1 Mg 3.06
Li 0.6500 0.0111 0.0111  6 Li 2.69-2.98, 1 Mg 3.00
Li 0.7620 0.3832 0.7620  8 Li 2.96-3.16, 1 Mg 3.06
Li 0.7620 0.7620 0.3832  8 Li 2.96-3.16, 1 Mg 3.06
Li 0.9889 0.3500 0.9889  6 Li 2.69-2.98, 1 Mg 3.00
Li 0.9889 0.9889 0.3500  6 Li 2.69-2.98, 1 Mg 3.00
Mg 0.2429 0.2429 0.2429  9 Li 3.00-3.22
Mg 0.7571 0.7571 0.7571  9 Li 3.00-3.22

## Properties
distance to the lowest polymorph of the same formula = 12.48 kJ per mole of atoms
symmetry = R-3m (166)
ΔE_f = 0.20 eV/atom

***

Material: Li3Mg5
Method: DFT, PBE
State: optimized geometry

Lattice parameters (Å, degrees): 8.2755 8.2755 5.7065 90.00 90.00 120.00
Last column: nearest neighbours and their distance in Å.
Fractional coordinates of all 16 atoms:
Li 0.0000 0.4028 0.2500  9 Mg 2.90-3.17
Li 0.0000 0.5972 0.7500  9 Mg 2.90-3.17
Li 0.4028 0.0000 0.2500  9 Mg 2.90-3.17
Li 0.4028 0.4028 0.7500  9 Mg 2.90-3.17
Li 0.5972 0.0000 0.7500  9 Mg 2.90-3.17
Li 0.5972 0.5972 0.2500  9 Mg 2.90-3.17
Mg 0.0000 0.2356 0.7500  5 Li 2.90-3.17
Mg 0.0000 0.7644 0.2500  5 Li 2.90-3.17
Mg 0.2356 0.0000 0.7500  5 Li 2.90-3.17
Mg 0.2356 0.2356 0.2500  5 Li 2.90-3.17
Mg 0.3333 0.6667 0.0000  2 Mg 2.85, 6 Li 2.90
Mg 0.3333 0.6667 0.5000  2 Mg 2.85, 6 Li 2.90
Mg 0.6667 0.3333 0.0000  2 Mg 2.85, 6 Li 2.90
Mg 0.6667 0.3333 0.5000  2 Mg 2.85, 6 Li 2.90
Mg 0.7644 0.0000 0.2500  5 Li 2.90-3.17
Mg 0.7644 0.7644 0.7500  5 Li 2.90-3.17

## Properties
distance to the lowest polymorph of the same formula = 4.58 kJ per mole of atoms
symmetry = P6_3/mcm (193)
ΔE_f = 0.00 eV/atom

***

Material: LiMg2
Method: DFT, PBE
State: optimized geometry

Lattice parameters (Å, degrees): 5.4434 5.4434 5.0449 90.00 90.00 120.00
Last column: nearest neighbours and their distance in Å.
Fractional coordinates of all 6 atoms:
Li 0.3333 0.6667 0.0000  9 Mg 3.10-3.14, 3 Li 3.14
Li 0.6667 0.3333 0.0000  9 Mg 3.10-3.14, 3 Li 3.14
Mg 0.0000 0.0000 0.0000  6 Mg 3.13, 6 Li 3.14
Mg 0.0000 0.6594 0.5000  4 Li 3.10, 8 Mg 3.11-3.21
Mg 0.3406 0.3406 0.5000  4 Li 3.10, 8 Mg 3.11-3.21
Mg 0.6594 0.0000 0.5000  4 Li 3.10, 8 Mg 3.11-3.21

## Properties
symmetry = P-62m (189)
ΔE_f = -0.03 eV/atom

***

Material: Li7Mg4
Method: DFT, PBE
State: optimized geometry

Lattice parameters (Å, degrees): 9.5222 9.5222 3.0949 90.00 90.00 120.00
Last column: nearest neighbours and their distance in Å.
Fractional coordinates of all 11 atoms:
Li 0.0000 0.0000 0.0000  6 Mg 3.07, 8 Li 3.09-3.37
Li 0.1812 0.3624 0.5000  4 Mg 2.84-2.95, 2 Li 3.09
Li 0.1812 0.8188 0.5000  4 Mg 2.84-2.95, 2 Li 3.09
Li 0.5193 0.0387 0.0000  5 Mg 3.07-3.08, 6 Li 3.09-3.23
Li 0.5193 0.4807 0.0000  5 Mg 3.07-3.08, 6 Li 3.09-3.23
Li 0.6376 0.8188 0.5000  4 Mg 2.84-2.95, 2 Li 3.09
Li 0.9613 0.4807 0.0000  5 Mg 3.07-3.08, 6 Li 3.09-3.23
Mg 0.3220 0.1610 0.5000  8 Li 2.84-3.08, 2 Mg 3.09
Mg 0.3333 0.6667 0.0000  9 Li 2.95-3.07, 2 Mg 3.09
Mg 0.8390 0.1610 0.5000  8 Li 2.84-3.08, 2 Mg 3.09
Mg 0.8390 0.6780 0.5000  8 Li 2.84-3.08, 2 Mg 3.09

## Properties
symmetry = P-6m2 (187)
ΔE_f = 0.05 eV/atom

***

Material: LiMg2
Method: DFT, PBE
State: optimized geometry

Lattice parameters (Å, degrees): 5.4142 5.4142 6.0491 117.96 117.96 60.33
Last column: nearest neighbours and their distance in Å.
Fractional coordinates of all 6 atoms:
Li 0.0863 0.9137 0.7500  10 Mg 3.08-3.16, 2 Li 3.17
Li 0.9137 0.0863 0.2500  10 Mg 3.08-3.16, 2 Li 3.17
Mg 0.2425 0.4197 0.2507  5 Li 3.08-3.16, 7 Mg 3.10-3.17
Mg 0.4197 0.2425 0.7507  5 Li 3.08-3.16, 7 Mg 3.10-3.17
Mg 0.5803 0.7575 0.2493  5 Li 3.08-3.16, 7 Mg 3.10-3.17
Mg 0.7575 0.5803 0.7493  5 Li 3.08-3.16, 7 Mg 3.10-3.17

## Properties
symmetry = C2/c (15)
ΔE_f = -0.04 eV/atom

***

Q: Which total magnetic moment values were calculated for the entries above? A: 0.00, 0.00, 0.00, 0.00, 0.00, 0.00, 0.00, 0.00, 0.00, 0.00, 0.00, 0.00, in Bohr magnetons per cell.
Q: Which final energy values were calculated for the entries above? A: -12.47, -52.89, -10.27, -10.45, -11.51, -16.61, -12.49, -25.06, -27.41, -10.41, -19.21, -10.42, in eV/cell.